Below is CeDy2Rh2 after structural relaxation, with properties calculated at the PBE level.

Calculated values
The value obtained for the uncorrected energy is -64.1 eV for the cell shown. Its formation energy is -0.4377 eV/atom. As for the space group: Cmcm, No. 63. The calculation puts the energy above the lowest structure with this stoichiometry at 165 meV/atom.

Cell lengths 7.775, 7.775, 5.534 Å; angles 90.00, 90.00, 135.00 degrees
Atoms (fractional coordinates):
1 Ce 0.000 0.000 0.000
2 Ce 0.000 0.000 0.500
3 Dy 0.218 0.782 0.750
4 Dy 0.414 0.586 0.250
5 Dy 0.586 0.414 0.750
6 Dy 0.782 0.218 0.250
7 Rh 0.134 0.383 0.750
8 Rh 0.383 0.134 0.250
9 Rh 0.617 0.866 0.750
10 Rh 0.866 0.617 0.250

---

Below is Ce2DyRh9 after structural relaxation, with properties calculated at the PBE level.

Calculated values
The value obtained for the uncorrected energy is -89.4 eV for the cell shown. Its formation energy is -0.5604 eV/atom. As for the space group: R-3m, No. 166.

Cell lengths 9.359, 9.359, 9.359 Å; angles 32.59, 32.59, 32.59 degrees
Atoms (fractional coordinates):
1 Ce 0.139 0.139 0.139
2 Ce 0.861 0.861 0.861
3 Dy 0.000 0.000 0.000
4 Rh 0.081 0.584 0.584
5 Rh 0.333 0.333 0.333
6 Rh 0.416 0.416 0.919
7 Rh 0.416 0.919 0.416
8 Rh 0.500 0.500 0.500
9 Rh 0.584 0.081 0.584
10 Rh 0.584 0.584 0.081
11 Rh 0.667 0.667 0.667
12 Rh 0.919 0.416 0.416